1.
! PBE-GGA Ac6NdSe8, relaxed; values from VASP
! E_tot: -5.7219 eV per atom
! N(E_F): 0.5340 states/eV/atom
! Formation energy from raw total energies: -1.90 eV/atom
&SYSTEM
  ibrav = 0, nat = 15, ntyp = 3
/
ATOMIC_SPECIES
Ac 227.00 Ac.upf
Nd 144.24 Nd.upf
Se 78.96 Se.upf
CELL_PARAMETERS angstrom
7.691 0.000 4.440
2.564 7.251 4.440
0.000 0.000 8.880
ATOMIC_POSITIONS crystal
Ac 0.000 0.500 0.500
Ac 0.500 0.000 0.000
Ac 0.500 0.500 0.000
Ac 0.000 0.000 0.500
Ac 0.000 0.500 0.000
Ac 0.500 0.000 0.500
Nd 0.000 0.000 0.000
Se 0.750 0.750 0.750
Se 0.250 0.250 0.250
Se 0.757 0.243 0.243
Se 0.243 0.757 0.757
Se 0.243 0.243 0.757
Se 0.757 0.757 0.243
Se 0.757 0.243 0.757
Se 0.243 0.757 0.243

---

2.
! PBE-GGA InGaF3, relaxed; values from VASP
! E_tot: -4.1452 eV per atom
! N(E_F): 0.1914 states/eV/atom
! Formation energy from raw total energies: -1.87 eV/atom
&SYSTEM
  ibrav = 0, nat = 5, ntyp = 3
/
ATOMIC_SPECIES
F 19.00 F.upf
Ga 69.72 Ga.upf
In 114.82 In.upf
CELL_PARAMETERS angstrom
4.328 0.000 0.000
0.000 4.328 0.000
0.000 0.000 4.328
ATOMIC_POSITIONS crystal
F 0.000 0.500 0.000
F 0.000 0.000 0.500
F 0.500 0.000 0.000
Ga 0.000 0.000 0.000
In 0.500 0.500 0.500

---

3.
! PBE-GGA Rb2TlSi2Se6, relaxed; values from VASP
! E_tot: -3.8458 eV per atom
! N(E_F): 0.4871 states/eV/atom
! Formation energy from raw total energies: -0.57 eV/atom
&SYSTEM
  ibrav = 0, nat = 11, ntyp = 4
/
ATOMIC_SPECIES
Rb 85.47 Rb.upf
Tl 204.38 Tl.upf
Si 28.09 Si.upf
Se 78.96 Se.upf
CELL_PARAMETERS angstrom
-5.585 4.810 -0.290
-6.803 -2.341 -1.627
-5.818 -0.590 8.455
ATOMIC_POSITIONS crystal
Rb 0.790 0.790 0.629
Rb 0.210 0.210 0.371
Tl 0.000 0.000 0.000
Si 0.427 0.427 0.719
Si 0.573 0.573 0.281
Se 0.744 0.744 0.283
Se 0.229 0.744 0.283
Se 0.744 0.229 0.283
Se 0.256 0.771 0.717
Se 0.771 0.256 0.717
Se 0.256 0.256 0.717

---

4.
! PBE-GGA NaTbPm2Tl4, relaxed; values from VASP
! E_form: -31 kJ per mole of atoms
! E_tot: -3.4307 eV per atom
! N(E_F): 0.6949 states/eV/atom
&SYSTEM
  ibrav = 0, nat = 8, ntyp = 4
/
ATOMIC_SPECIES
Na 22.99 Na.upf
Tb 158.93 Tb.upf
Pm 145.00 Pm.upf
Tl 204.38 Tl.upf
CELL_PARAMETERS angstrom
-2.344 -2.169 -4.338
2.952 -1.186 -4.347
1.732 -9.333 0.385
ATOMIC_POSITIONS crystal
Na 0.500 0.500 0.500
Tb 0.000 0.000 0.000
Pm 0.755 0.755 0.734
Pm 0.245 0.245 0.266
Tl 0.374 0.374 0.877
Tl 0.876 0.876 0.372
Tl 0.124 0.124 0.628
Tl 0.626 0.626 0.123

---

5.
! PBE-GGA LaErTmTh, relaxed; values from VASP
! E_form: 10 kJ per mole of atoms
! E_tot: -5.2434 eV per atom
! ΔE to the lowest computed polymorph: 0.32 eV per formula unit
! N(E_F): 1.6126 states/eV/atom
&SYSTEM
  ibrav = 0, nat = 4, ntyp = 4
/
ATOMIC_SPECIES
Tm 168.93 Tm.upf
La 138.91 La.upf
Th 232.04 Th.upf
Er 167.26 Er.upf
CELL_PARAMETERS angstrom
5.690 0.000 0.000
2.845 4.928 0.000
2.845 1.643 4.646
ATOMIC_POSITIONS crystal
Tm 0.250 0.250 0.250
La 0.500 0.500 0.500
Th 0.000 0.000 0.000
Er 0.750 0.750 0.750

---

6.
! PBE-GGA AcPr2Ru, relaxed; values from VASP
! E_form: -14 kJ per mole of atoms
! E_tot: -5.8827 eV per atom
! ΔE to the lowest computed polymorph: 0.07 eV per formula unit
! N(E_F): 1.0550 states/eV/atom
&SYSTEM
  ibrav = 0, nat = 8, ntyp = 3
/
ATOMIC_SPECIES
Ac 227.00 Ac.upf
Pr 140.91 Pr.upf
Ru 101.07 Ru.upf
CELL_PARAMETERS angstrom
-0.353 1.855 3.580
-5.280 -3.976 -0.749
4.984 -7.438 4.345
ATOMIC_POSITIONS crystal
Ac 0.918 0.835 0.250
Ac 0.082 0.165 0.750
Pr 0.355 0.709 0.572
Pr 0.645 0.291 0.428
Pr 0.355 0.709 0.928
Pr 0.645 0.291 0.072
Ru 0.755 0.510 0.750
Ru 0.245 0.490 0.250

---

7.
! PBE-GGA Ca4Eu2N, relaxed; values from VASP
! E_tot: -5.4949 eV per atom
! N(E_F): 3.1819 states/eV/atom
! Formation energy from raw total energies: -0.23 eV/atom
&SYSTEM
  ibrav = 0, nat = 7, ntyp = 3
/
ATOMIC_SPECIES
Eu 151.96 Eu.upf
Ca 40.08 Ca.upf
N 14.01 N.upf
CELL_PARAMETERS angstrom
-3.794 0.516 -3.009
2.695 -1.690 -3.688
-3.684 -10.499 -1.097
ATOMIC_POSITIONS crystal
Eu 0.698 0.698 0.603
Eu 0.302 0.302 0.397
Ca 0.887 0.887 0.227
Ca 0.113 0.113 0.773
Ca 0.000 0.500 0.000
Ca 0.500 0.000 0.000
N 0.000 0.000 0.000

---

8.
! PBE-GGA KTc2Cl, relaxed; values from VASP
! E_tot: -4.7647 eV per atom
! ΔE to the lowest computed polymorph: 4.41 eV per formula unit
! N(E_F): 0.9580 states/eV/atom
! Formation energy from raw total energies: 1.15 eV/atom
&SYSTEM
  ibrav = 0, nat = 4, ntyp = 3
/
ATOMIC_SPECIES
K 39.10 K.upf
Tc 98.00 Tc.upf
Cl 35.45 Cl.upf
CELL_PARAMETERS angstrom
4.688 0.011 0.000
-0.008 4.688 0.000
-2.340 -2.349 3.314
ATOMIC_POSITIONS crystal
K 0.750 0.250 0.500
Tc 0.000 0.000 0.000
Tc 0.250 0.750 0.500
Cl 0.500 0.500 0.000

---

9.
! PBE-GGA ZnCrPb2, relaxed; values from VASP
! E_form: 49 kJ per mole of atoms
! E_tot: -4.0747 eV per atom
! N(E_F): 0.6058 states/eV/atom
&SYSTEM
  ibrav = 0, nat = 4, ntyp = 3
/
ATOMIC_SPECIES
Cr 52.00 Cr.upf
Pb 207.20 Pb.upf
Zn 65.41 Zn.upf
CELL_PARAMETERS angstrom
-1.924 4.762 0.663
-2.661 1.143 4.292
2.055 3.151 3.558
ATOMIC_POSITIONS crystal
Cr 0.500 0.500 0.500
Pb 0.000 0.000 0.000
Pb 0.750 0.750 0.750
Zn 0.250 0.250 0.250

---

10.
! PBE-GGA Ca2GdRh, relaxed; values from VASP
! E_form: 5 kJ per mole of atoms
! E_tot: -6.3085 eV per atom
! N(E_F): 1.2521 states/eV/atom
&SYSTEM
  ibrav = 0, nat = 4, ntyp = 3
/
ATOMIC_SPECIES
Ca 40.08 Ca.upf
Gd 157.25 Gd.upf
Rh 102.91 Rh.upf
CELL_PARAMETERS angstrom
-0.917 -2.532 2.266
-1.842 -2.781 -1.120
8.347 -7.046 -1.761
ATOMIC_POSITIONS crystal
Ca 0.107 0.107 0.680
Ca 0.893 0.893 0.320
Gd 0.000 0.000 0.000
Rh 0.500 0.500 0.500

---

11.
! PBE-GGA LaTc2Pb, relaxed; values from VASP
! E_form: 51 kJ per mole of atoms
! E_tot: -6.8179 eV per atom
! N(E_F): 0.8826 states/eV/atom
&SYSTEM
  ibrav = 0, nat = 4, ntyp = 3
/
ATOMIC_SPECIES
La 138.91 La.upf
Pb 207.20 Pb.upf
Tc 98.00 Tc.upf
CELL_PARAMETERS angstrom
4.825 -0.006 -0.009
3.651 3.155 -0.009
1.044 0.388 5.509
ATOMIC_POSITIONS crystal
La 0.250 0.250 0.250
Pb 0.750 0.750 0.750
Tc 0.016 0.016 0.034
Tc 0.484 0.484 0.466

---

12.
! PBE-GGA MgIrRh2, relaxed; values from VASP
! E_form: -20 kJ per mole of atoms
! E_tot: -6.4981 eV per atom
! N(E_F): 0.6616 states/eV/atom
&SYSTEM
  ibrav = 0, nat = 4, ntyp = 3
/
ATOMIC_SPECIES
Mg 24.30 Mg.upf
Ir 192.22 Ir.upf
Rh 102.91 Rh.upf
CELL_PARAMETERS angstrom
4.764 0.004 0.000
1.607 4.485 0.000
-3.186 -2.244 2.741
ATOMIC_POSITIONS crystal
Mg 0.750 0.250 0.500
Ir 0.500 0.500 0.000
Rh 0.000 0.000 0.000
Rh 0.250 0.750 0.500

---

13.
! PBE-GGA Zn2HPt, relaxed; values from VASP
! E_tot: -2.7612 eV per atom
! ΔE to the lowest computed polymorph: 0.90 eV per formula unit
! N(E_F): 0.3838 states/eV/atom
&SYSTEM
  ibrav = 0, nat = 4, ntyp = 3
/
ATOMIC_SPECIES
H 1.01 H.upf
Zn 65.41 Zn.upf
Pt 195.08 Pt.upf
CELL_PARAMETERS angstrom
0.000 2.995 2.995
2.995 0.000 2.995
2.995 2.995 0.000
ATOMIC_POSITIONS crystal
H 0.000 0.000 0.000
Zn 0.250 0.250 0.250
Zn 0.750 0.750 0.750
Pt 0.500 0.500 0.500

---

14.
! PBE-GGA Pb2SeCl, relaxed; values from VASP
! E_tot: -3.7625 eV per atom
! ΔE to the lowest computed polymorph: 0.03 eV per formula unit
! N(E_F): 0.3729 states/eV/atom
! Formation energy from raw total energies: -0.58 eV/atom
&SYSTEM
  ibrav = 0, nat = 4, ntyp = 3
/
ATOMIC_SPECIES
Cl 35.45 Cl.upf
Pb 207.20 Pb.upf
Se 78.96 Se.upf
CELL_PARAMETERS angstrom
8.794 -0.019 -0.011
7.887 3.890 -0.011
7.887 1.830 3.432
ATOMIC_POSITIONS crystal
Cl 0.750 0.750 0.750
Pb 0.995 0.995 0.995
Pb 0.505 0.505 0.505
Se 0.250 0.250 0.250

---

15.
! PBE-GGA CsAlAg2F8, relaxed; values from VASP
! E_tot: -4.2818 eV per atom
! N(E_F): 0.0227 states/eV/atom
! Formation energy from raw total energies: -2.18 eV/atom
&SYSTEM
  ibrav = 0, nat = 12, ntyp = 4
/
ATOMIC_SPECIES
Cs 132.91 Cs.upf
Al 26.98 Al.upf
Ag 107.87 Ag.upf
F 19.00 F.upf
CELL_PARAMETERS angstrom
5.604 0.150 0.741
0.193 5.232 0.686
1.245 1.107 7.506
ATOMIC_POSITIONS crystal
Cs 0.000 0.000 0.500
Al 0.000 0.000 0.000
Ag 0.365 0.491 0.739
Ag 0.635 0.509 0.261
F 0.044 0.750 0.200
F 0.742 0.802 0.001
F 0.777 0.172 0.162
F 0.956 0.250 0.800
F 0.258 0.198 0.999
F 0.223 0.828 0.838
F 0.491 0.738 0.460
F 0.509 0.262 0.540

---

16.
! PBE-GGA LiHAu2, relaxed; values from VASP
! E_tot: -2.8309 eV per atom
! ΔE to the lowest computed polymorph: 0.22 eV per formula unit
! N(E_F): 0.1640 states/eV/atom
&SYSTEM
  ibrav = 0, nat = 4, ntyp = 3
/
ATOMIC_SPECIES
H 1.01 H.upf
Au 196.97 Au.upf
Li 6.94 Li.upf
CELL_PARAMETERS angstrom
2.909 0.000 0.000
1.455 2.519 0.000
1.455 0.840 7.790
ATOMIC_POSITIONS crystal
H 0.500 0.500 0.500
Au 0.105 0.105 0.685
Au 0.895 0.895 0.315
Li 0.000 0.000 0.000

---

17.
! PBE-GGA ZrSc2Se, relaxed; values from VASP
! E_tot: -6.8271 eV per atom
! N(E_F): 0.8413 states/eV/atom
! Formation energy from raw total energies: -0.65 eV/atom
&SYSTEM
  ibrav = 0, nat = 4, ntyp = 3
/
ATOMIC_SPECIES
Sc 44.96 Sc.upf
Se 78.96 Se.upf
Zr 91.22 Zr.upf
CELL_PARAMETERS angstrom
-1.128 -3.222 0.208
0.097 -0.255 -3.415
6.959 -2.632 -3.040
ATOMIC_POSITIONS crystal
Sc 0.000 0.972 0.029
Sc 0.000 0.528 0.471
Se 0.500 0.250 0.250
Zr 0.500 0.750 0.750

---

18.
! PBE-GGA Ce2SmSe3, relaxed; values from VASP
! E_tot: -6.3300 eV per atom
! ΔE to the lowest computed polymorph: 0.00 eV per formula unit
! N(E_F): 2.1541 states/eV/atom
! Formation energy from raw total energies: -1.82 eV/atom
&SYSTEM
  ibrav = 0, nat = 12, ntyp = 3
/
ATOMIC_SPECIES
Ce 140.12 Ce.upf
Sm 150.36 Sm.upf
Se 78.96 Se.upf
CELL_PARAMETERS angstrom
5.926 0.000 0.000
0.000 8.368 0.002
-2.963 -2.093 6.300
ATOMIC_POSITIONS crystal
Ce 0.666 0.583 0.333
Ce 0.666 0.083 0.333
Ce 0.334 0.917 0.667
Ce 0.334 0.417 0.667
Sm 0.000 0.750 0.000
Sm 0.000 0.250 0.000
Se 0.500 0.250 0.000
Se 0.500 0.750 0.000
Se 0.165 0.083 0.331
Se 0.835 0.417 0.669
Se 0.165 0.583 0.331
Se 0.835 0.917 0.669

---

19.
! PBE-GGA YZrGaOs, relaxed; values from VASP
! E_form: -33 kJ per mole of atoms
! E_tot: -7.6605 eV per atom
! N(E_F): 0.4387 states/eV/atom
&SYSTEM
  ibrav = 0, nat = 4, ntyp = 4
/
ATOMIC_SPECIES
Y 88.91 Y.upf
Os 190.23 Os.upf
Ga 69.72 Ga.upf
Zr 91.22 Zr.upf
CELL_PARAMETERS angstrom
4.820 0.000 0.000
2.410 4.174 0.000
2.410 1.391 3.936
ATOMIC_POSITIONS crystal
Y 0.000 0.000 0.000
Os 0.250 0.250 0.250
Ga 0.750 0.750 0.750
Zr 0.500 0.500 0.500

---

20.
! PBE-GGA KTaBr2, relaxed; values from VASP
! E_tot: -3.7917 eV per atom
! ΔE to the lowest computed polymorph: 1.66 eV per formula unit
! N(E_F): 1.1960 states/eV/atom
! Formation energy from raw total energies: 0.28 eV/atom
&SYSTEM
  ibrav = 0, nat = 4, ntyp = 3
/
ATOMIC_SPECIES
Br 79.90 Br.upf
K 39.10 K.upf
Ta 180.95 Ta.upf
CELL_PARAMETERS angstrom
7.907 0.002 0.000
5.684 5.497 0.000
-6.795 -2.750 2.964
ATOMIC_POSITIONS crystal
Br 0.000 0.000 0.000
Br 0.250 0.750 0.500
K 0.500 0.500 0.000
Ta 0.750 0.250 0.500